# meta-GGA SCAN LaRuC2, PBEsol geometry
data_LaRuC2
_chemical_formula_sum 'La2 Ru2 C4'
_cell_length_a 4.0316
_cell_length_b 4.7293
_cell_length_c 6.2041
_cell_angle_alpha 90.00
_cell_angle_beta 90.00
_cell_angle_gamma 90.00
_space_group_name_H-M_alt 'A m m 2'
_space_group_IT_number 38
_space_group_name_Hall 'A 2 -2'
loop_
_atom_site_label
_atom_site_fract_x
_atom_site_fract_y
_atom_site_fract_z
La1 0.0000 0.0000 0.0000
Ru1 0.5000 0.0000 0.6154
C1 0.5000 0.1472 0.2937
# - Crystal system: orthorhombic
# - Formation energy: -0.234 eV/atom



# meta-GGA SCAN KLi3GeO4, PBEsol geometry
data_KLi3GeO4
_chemical_formula_sum 'K4 Li12 Ge4 O16'
_cell_length_a 5.8236
_cell_length_b 7.4446
_cell_length_c 9.8933
_cell_angle_alpha 83.35
_cell_angle_beta 76.47
_cell_angle_gamma 79.60
_space_group_name_H-M_alt 'P -1'
_space_group_IT_number 2
_space_group_name_Hall '-P 1'
loop_
_atom_site_label
_atom_site_fract_x
_atom_site_fract_y
_atom_site_fract_z
K1 0.0015 0.3833 0.3844
K2 0.0407 0.1410 0.1280
Li1 0.1878 0.9446 0.3953
Li2 0.1896 0.4481 0.8974
Li3 0.1951 0.1764 0.6465
Li4 0.4309 0.0472 0.8759
Li5 0.4637 0.5732 0.3723
Li6 0.4755 0.3211 0.1147
Ge1 0.1660 0.7057 0.1484
Ge2 0.4430 0.7911 0.6338
O1 0.1408 0.2027 0.8499
O2 0.1777 0.7109 0.3253
O3 0.1883 0.9361 0.5927
O4 0.1920 0.4847 0.0908
O5 0.3465 0.6090 0.7576
O6 0.3642 0.8382 0.0339
O7 0.3800 0.3279 0.5092
O8 0.3921 0.1044 0.2772
# - Raw formation energy: -2113 meV/atom
# - Crystal system: triclinic



# meta-GGA SCAN MgCuPO2, PBEsol geometry
data_MgCuPO2
_chemical_formula_sum 'Mg1 Cu1 P1 O2'
_cell_length_a 3.7546
_cell_length_b 3.7546
_cell_length_c 4.5775
_cell_angle_alpha 90.00
_cell_angle_beta 90.00
_cell_angle_gamma 90.00
_space_group_name_H-M_alt 'P 4/m m m'
_space_group_IT_number 123
_space_group_name_Hall '-P 4 2'
loop_
_atom_site_label
_atom_site_fract_x
_atom_site_fract_y
_atom_site_fract_z
Mg1 0.0000 0.0000 0.0000
Cu1 0.5000 0.5000 0.5000
P1 0.5000 0.5000 0.0000
O1 0.0000 0.5000 0.5000
# - Raw formation energy: -176 meV/atom
# - Crystal system: tetragonal



# meta-GGA SCAN Ca2RhSe, PBEsol geometry
data_Ca2RhSe
_chemical_formula_sum 'Ca4 Rh2 Se2'
_cell_length_a 4.1808
_cell_length_b 3.9998
_cell_length_c 10.5772
_cell_angle_alpha 90.00
_cell_angle_beta 90.00
_cell_angle_gamma 90.00
_space_group_name_H-M_alt 'A m m 2'
_space_group_IT_number 38
_space_group_name_Hall 'A 2 -2'
loop_
_atom_site_label
_atom_site_fract_x
_atom_site_fract_y
_atom_site_fract_z
Ca1 0.0000 0.0000 0.0000
Ca2 0.5000 0.0000 0.2804
Rh1 0.0000 0.0000 0.7117
Se1 0.5000 0.0000 0.5684
# - Raw formation energy: -999 meV/atom
# - Crystal system: orthorhombic



# meta-GGA SCAN BaSb2PbI, PBEsol geometry
data_BaSb2PbI
_chemical_formula_sum 'Ba1 Sb2 Pb1 I1'
_cell_length_a 6.1214
_cell_length_b 6.1214
_cell_length_c 6.2321
_cell_angle_alpha 90.00
_cell_angle_beta 90.00
_cell_angle_gamma 90.00
_space_group_name_H-M_alt 'P 4/m m m'
_space_group_IT_number 123
_space_group_name_Hall '-P 4 2'
loop_
_atom_site_label
_atom_site_fract_x
_atom_site_fract_y
_atom_site_fract_z
Ba1 0.0000 0.0000 0.0000
Sb1 0.0000 0.5000 0.0000
Pb1 0.5000 0.5000 0.5000
I1 0.0000 0.0000 0.5000
# - Raw formation energy: 488 meV/atom
# - Crystal system: tetragonal



# meta-GGA SCAN MgCoPb, PBEsol geometry
data_MgCoPb
_chemical_formula_sum 'Mg4 Co4 Pb4'
_cell_length_a 6.2931
_cell_length_b 6.2931
_cell_length_c 6.2931
_cell_angle_alpha 90.00
_cell_angle_beta 90.00
_cell_angle_gamma 90.00
_space_group_name_H-M_alt 'F -4 3 m'
_space_group_IT_number 216
_space_group_name_Hall 'F -4 2 3'
loop_
_atom_site_label
_atom_site_fract_x
_atom_site_fract_y
_atom_site_fract_z
Mg1 0.0000 0.0000 0.0000
Co1 0.0000 0.0000 0.5000
Pb1 0.2500 0.2500 0.2500
# - Crystal system: cubic
# - Formation energy: 0.384 eV/atom



# meta-GGA SCAN LiScPt2, PBEsol geometry
data_LiScPt2
_chemical_formula_sum 'Li1 Sc1 Pt2'
_cell_length_a 2.8493
_cell_length_b 4.0601
_cell_length_c 5.3250
_cell_angle_alpha 90.00
_cell_angle_beta 90.00
_cell_angle_gamma 90.00
_space_group_name_H-M_alt 'P m m 2'
_space_group_IT_number 25
_space_group_name_Hall 'P 2 -2'
loop_
_atom_site_label
_atom_site_fract_x
_atom_site_fract_y
_atom_site_fract_z
Li1 0.0000 0.0000 0.0000
Sc1 0.5000 0.5000 0.6933
Pt1 0.0000 0.0000 0.4789
Pt2 0.5000 0.5000 0.1768
# - Crystal system: orthorhombic
# - Formation energy: -0.892 eV/atom



# meta-GGA SCAN BeReOs, PBEsol geometry
data_BeReOs
_chemical_formula_sum 'Be2 Re2 Os2'
_cell_length_a 2.8235
_cell_length_b 2.8235
_cell_length_c 9.1043
_cell_angle_alpha 90.00
_cell_angle_beta 90.00
_cell_angle_gamma 90.00
_space_group_name_H-M_alt 'I 4 m m'
_space_group_IT_number 107
_space_group_name_Hall 'I 4 -2'
loop_
_atom_site_label
_atom_site_fract_x
_atom_site_fract_y
_atom_site_fract_z
Be1 0.0000 0.0000 0.0000
Re1 0.0000 0.0000 0.3358
Os1 0.0000 0.0000 0.6495
# - Crystal system: tetragonal
# - Formation energy: -0.263 eV/atom



# meta-GGA SCAN SrNi4Sn2, PBEsol geometry
data_SrNi4Sn2
_chemical_formula_sum 'Sr4 Ni16 Sn8'
_cell_length_a 7.7720
_cell_length_b 7.7720
_cell_length_c 7.6892
_cell_angle_alpha 90.00
_cell_angle_beta 90.00
_cell_angle_gamma 90.00
_space_group_name_H-M_alt 'I 4/m c m'
_space_group_IT_number 140
_space_group_name_Hall '-I 4 2c'
loop_
_atom_site_label
_atom_site_fract_x
_atom_site_fract_y
_atom_site_fract_z
Sr1 0.0000 0.0000 0.2500
Ni1 0.1358 0.3642 0.1622
Sn1 0.1602 0.3398 0.5000
# - Crystal system: tetragonal
# - Formation energy: -0.291 eV/atom



# meta-GGA SCAN BeCr2Br, PBEsol geometry
data_BeCr2Br
_chemical_formula_sum 'Be2 Cr4 Br2'
_cell_length_a 3.0005
_cell_length_b 4.2274
_cell_length_c 8.2757
_cell_angle_alpha 90.00
_cell_angle_beta 90.00
_cell_angle_gamma 90.00
_space_group_name_H-M_alt 'I m m 2'
_space_group_IT_number 44
_space_group_name_Hall 'I 2 -2'
loop_
_atom_site_label
_atom_site_fract_x
_atom_site_fract_y
_atom_site_fract_z
Be1 0.0000 0.0000 0.0000
Cr1 0.0000 0.0000 0.5156
Cr2 0.0000 0.5000 0.2589
Br1 0.0000 0.5000 0.7694
# - Raw formation energy: 634 meV/atom
# - Crystal system: orthorhombic



# meta-GGA SCAN ZnPt2Rh, PBEsol geometry
data_ZnPt2Rh
_chemical_formula_sum 'Zn1 Pt2 Rh1'
_cell_length_a 2.7449
_cell_length_b 2.7449
_cell_length_c 7.4862
_cell_angle_alpha 90.00
_cell_angle_beta 90.00
_cell_angle_gamma 90.00
_space_group_name_H-M_alt 'P 4 m m'
_space_group_IT_number 99
_space_group_name_Hall 'P 4 -2'
loop_
_atom_site_label
_atom_site_fract_x
_atom_site_fract_y
_atom_site_fract_z
Zn1 0.0000 0.0000 0.0000
Pt1 0.0000 0.0000 0.5120
Pt2 0.5000 0.5000 0.2419
Rh1 0.5000 0.5000 0.7628
# - Crystal system: tetragonal
# - Formation energy: -0.225 eV/atom



# meta-GGA SCAN CsYTaMo2, PBEsol geometry
data_CsYTaMo2
_chemical_formula_sum 'Cs1 Y1 Ta1 Mo2'
_cell_length_a 5.0437
_cell_length_b 5.0437
_cell_length_c 5.2041
_cell_angle_alpha 90.00
_cell_angle_beta 90.00
_cell_angle_gamma 90.00
_space_group_name_H-M_alt 'P 4/m m m'
_space_group_IT_number 123
_space_group_name_Hall '-P 4 2'
loop_
_atom_site_label
_atom_site_fract_x
_atom_site_fract_y
_atom_site_fract_z
Cs1 0.0000 0.0000 0.0000
Y1 0.5000 0.5000 0.5000
Ta1 0.5000 0.5000 0.0000
Mo1 0.0000 0.5000 0.5000
# - Crystal system: tetragonal
# - Formation energy: 2.708 eV/atom



| no. | E_tot (eV per atom) |
| --- | --- |
| 1 | -24.766 |
| 2 | -8.726 |
| 3 | -8.783 |
| 4 | -19.293 |
| 5 | -44.831 |
| 6 | -32.302 |
| 7 | -40.145 |
| 8 | -49.374 |
| 9 | -22.978 |
| 10 | -14.512 |
| 11 | -47.143 |
| 12 | -37.694 |